14
Lattice="6.3708 0.1686 0.1489 -2.6873 5.7788 0.1489 -0.3928 -0.6343 6.1133" Properties=species:S:1:pos:R:3 comment="Na3TlO3, relaxed, DFT GGA-PBE" volume_a3_per_cell=229.0 magnetic_moment_mub_per_cell=0.00 raw_formation_energy_mev_per_atom=-1069 de_polymorph_ev_per_fu=0.36 pbc="T T T"
Na 2.2028 3.5567 2.5622
Na -1.1602 4.3942 3.2055
Na 4.4509 0.9189 3.2055
Na -0.4049 4.3651 0.1489
Na 4.0884 1.5822 0.1489
Na 1.0878 1.7564 3.8488
Tl 2.5247 4.0763 5.6674
Tl 0.7660 1.2367 0.7436
O 3.2788 5.2939 1.6404
O 3.4927 2.5116 4.6046
O 0.6925 4.2459 4.6046
O -0.2020 2.8015 1.8065
O 2.5981 1.0672 1.8065
O 0.0119 0.0192 4.7706

***

12
Lattice="3.5620 0.0000 0.0000 0.0000 5.6185 0.0000 0.0000 0.0000 11.0740" Properties=species:S:1:pos:R:3 comment="Na3TlO2, relaxed, DFT GGA-PBE" volume_a3_per_cell=221.6 magnetic_moment_mub_per_cell=0.00 raw_formation_energy_mev_per_atom=-912 pbc="T T T"
Na 0.0000 0.0000 0.0000
Na 1.7810 2.8092 5.5370
Na 1.7810 4.6146 8.1737
Na 1.7810 1.0038 2.9002
Na 0.0000 1.8054 8.4372
Na 0.0000 3.8130 2.6368
Tl 0.0000 0.0000 5.5370
Tl 1.7810 2.8092 0.0000
O 1.7810 4.7407 1.5151
O 0.0000 1.9315 4.0219
O 0.0000 3.6870 7.0521
O 1.7810 0.8777 9.5588

***

10
Lattice="-4.6247 6.1600 -3.3280 -0.6295 0.5046 8.3521 6.7880 5.2028 0.1973" Properties=species:S:1:pos:R:3 comment="NaTl3O6, relaxed, DFT GGA-PBE" volume_a3_per_cell=572.8 magnetic_moment_mub_per_cell=2.00 raw_formation_energy_mev_per_atom=41 pbc="T T T"
Na 0.0000 0.0000 0.0000
Tl 3.3940 2.6014 0.0986
Tl -2.3124 3.0800 -1.6640
Tl -0.3147 0.2523 4.1761
O 1.8709 1.4340 0.0544
O 4.9170 3.7688 0.1429
O -1.4115 1.8600 -0.4852
O -3.8427 4.8046 5.5093
O -0.4656 0.5210 2.2802
O -4.7886 6.1435 2.7439

***

80
Lattice="-5.3029 1.5148 -12.2768 12.3585 -5.2218 -1.0644 -7.7567 -8.2726 7.2478" Properties=species:S:1:pos:R:3 comment="Na12Tl3O5, relaxed, DFT GGA-PBE" volume_a3_per_cell=1876.6 magnetic_moment_mub_per_cell=4.14 raw_formation_energy_mev_per_atom=-658 pbc="T T T"
Tl -0.3123 -1.8562 -8.7008
Tl 3.6593 -3.6250 -10.6345
Tl 2.4324 -8.5187 -0.8722
Tl -2.6897 -3.3763 -0.4843
Tl -5.0344 -1.3955 -9.0633
Tl 3.7963 -4.7638 -3.4571
Tl -4.4974 -7.2159 -2.6363
Tl 4.3333 -10.5842 2.9699
Tl 1.9886 -8.6034 -5.6091
Tl -3.1334 -3.4610 -5.2212
Tl -4.3604 -8.3547 4.5411
Tl -0.3888 -10.1235 2.6074
O 2.0324 -3.8370 -0.1218
O 6.1793 -2.6109 -0.5322
O 0.0000 0.0000 0.0000
O 0.1315 -1.7715 -3.9639
O -6.5298 -3.3789 -2.5145
O 3.5278 -1.8535 -6.6706
O 5.6973 -6.8293 0.3850
O -9.2195 -6.7552 -2.9988
O 0.8382 -5.2298 -7.1549
O -6.2613 -6.2892 0.6990
O 5.5602 -5.6905 -6.7924
O -0.3505 -5.9899 -3.0467
O -2.6514 0.7574 -6.1384
O -3.8784 -4.1363 3.6239
O -1.5392 -6.7499 1.0615
O 8.5184 -5.2245 -3.0946
O 2.3009 -6.7472 3.0917
O -6.3983 -5.1504 -6.4784
O -0.8325 -10.2082 -2.1295
O -2.7335 -8.1427 -5.9716
Na -10.1585 -7.6374 -1.2097
Na 1.2808 -5.4006 -1.4824
Na 2.5054 -4.8137 1.7973
Na -1.1259 -0.9137 -5.5589
Na -0.0734 -8.3070 -2.9480
Na 5.9172 -4.6448 0.5860
Na 5.3085 -7.2533 -1.7434
Na 10.0762 -5.3629 -1.5406
Na -8.3722 -4.8100 -2.3995
Na 2.2246 -3.5679 -7.5752
Na -1.2588 -4.8081 -7.6894
Na -0.8696 -11.6634 -3.7853
Na 4.0695 -7.4487 1.7369
Na 2.1109 -2.1833 -4.8433
Na 7.4938 -7.9703 0.9605
Na -5.7363 -4.7960 -0.8358
Na 0.4700 -2.2879 0.0190
Na 4.9958 -3.6250 -6.2673
Na 4.4570 -6.2229 -8.6255
Na 3.8734 -2.8458 -0.8212
Na -8.4540 -6.2491 0.9259
Na 0.8971 -5.5955 -4.9815
Na 1.4898 -6.9477 -8.3736
Na -7.5699 -7.9567 -3.8331
Na -1.5981 -6.3842 -1.1118
Na -2.1908 -5.0320 2.2802
Na 6.8688 -4.0230 -2.2602
Na -5.1581 -5.7568 2.5321
Na 7.7529 -5.7306 -7.0192
Na -4.5745 -9.1339 -5.2722
Na -5.6968 -8.3547 0.1739
Na 5.0353 -7.1837 -5.2576
Na -1.1710 -9.6918 -6.1124
Na -8.1949 -4.0094 -7.0539
Na -4.7706 -4.5310 -7.8303
Na 0.1685 -0.3163 -2.3081
Na -2.8119 -9.7965 -1.2501
Na 7.6711 -7.1697 -3.6938
Na -2.9257 -8.4118 1.4818
Na 0.5578 -7.1716 1.5960
Na -10.7773 -6.6168 -4.5528
Na -6.0096 -4.7264 -4.3500
Na 0.4249 -11.0660 -0.5344
Na -6.6183 -7.3349 -6.6794
Na -0.6276 -3.6727 -3.1454
Na -3.2065 -7.1660 -7.8907
Na -1.9819 -6.5791 -4.6110
Na 9.4575 -4.3424 -4.8837